Computed, not measured: crystalline Sm6SnIr at its relaxed geometry at the PBE level of DFT.

**Symmetry**: P-1

```
Sm6SnIr
1.0
-2.994 1.210 -6.182
-5.048 -4.259 -2.325
-7.250 2.788 0.162
Sm Sn Ir
6 1 1
Direct
0.419 0.780 0.757 Sm
0.044 0.419 0.757 Sm
0.222 0.957 0.243 Sm
0.778 0.043 0.757 Sm
0.581 0.220 0.243 Sm
0.956 0.581 0.243 Sm
0.500 0.500 0.500 Sn
0.000 0.000 0.000 Ir
```


Computed, not measured: crystalline SmSn4Ir2 at its relaxed geometry at the PBE level of DFT.

**Symmetry**: Pnma

```
SmSn4Ir2
1.0
4.489 0.000 0.000
0.000 7.302 0.000
0.000 0.000 18.507
Sm Ir Sn
4 8 16
Direct
0.250 0.008 0.357 Sm
0.250 0.492 0.857 Sm
0.750 0.508 0.143 Sm
0.750 0.992 0.643 Sm
0.750 0.022 0.215 Ir
0.750 0.478 0.715 Ir
0.250 0.522 0.285 Ir
0.250 0.750 0.535 Ir
0.250 0.750 0.035 Ir
0.750 0.250 0.465 Ir
0.750 0.250 0.965 Ir
0.250 0.978 0.785 Ir
0.750 0.194 0.818 Sn
0.250 0.131 0.533 Sn
0.750 0.869 0.467 Sn
0.750 0.772 0.807 Sn
0.750 0.631 0.967 Sn
0.250 0.694 0.682 Sn
0.750 0.306 0.318 Sn
0.250 0.478 0.433 Sn
0.250 0.806 0.182 Sn
0.750 0.522 0.567 Sn
0.750 0.728 0.307 Sn
0.250 0.022 0.933 Sn
0.750 0.978 0.067 Sn
0.250 0.228 0.193 Sn
0.250 0.369 0.033 Sn
0.250 0.272 0.693 Sn
```


Computed, not measured: crystalline SmSn3Ir3 at its relaxed geometry at the PBE level of DFT.

**Symmetry**: Pm-3n
**Energy above the most stable polymorph in this dataset**: 3.77 eV per formula unit

```
SmSn3Ir3
1.0
7.221 0.000 0.000
0.000 7.221 0.000
0.000 0.000 7.221
Ir Sn Sm
6 6 2
Direct
0.000 0.250 0.500 Ir
0.500 0.000 0.750 Ir
0.500 0.000 0.250 Ir
0.750 0.500 0.000 Ir
0.250 0.500 0.000 Ir
0.000 0.750 0.500 Ir
0.500 0.750 0.000 Sn
0.250 0.000 0.500 Sn
0.500 0.250 0.000 Sn
0.000 0.500 0.750 Sn
0.000 0.500 0.250 Sn
0.750 0.000 0.500 Sn
0.000 0.000 0.000 Sm
0.500 0.500 0.500 Sm
```


Computed, not measured: crystalline Sm5SnIr2 at its relaxed geometry at the PBE level of DFT.

**Symmetry**: I4/mcm

```
Sm5SnIr2
1.0
7.935 0.000 0.000
0.000 7.935 0.000
-3.968 -3.968 6.883
Ir Sm Sn
4 10 2
Direct
0.139 0.361 0.000 Ir
0.639 0.139 0.000 Ir
0.361 0.861 0.000 Ir
0.861 0.639 0.000 Ir
0.794 0.973 0.268 Sm
0.500 0.500 0.000 Sm
0.206 0.027 0.732 Sm
0.973 0.473 0.268 Sm
0.706 0.206 0.732 Sm
0.027 0.527 0.732 Sm
0.000 0.000 0.000 Sm
0.527 0.706 0.732 Sm
0.294 0.794 0.268 Sm
0.473 0.294 0.268 Sm
0.750 0.750 0.500 Sn
0.250 0.250 0.500 Sn
```


Computed, not measured: crystalline Sm5Sn2Ir at its relaxed geometry at the PBE level of DFT.

**Symmetry**: Pbam

```
Sm5Sn2Ir
1.0
4.641 0.000 0.000
0.000 8.122 0.000
0.000 0.000 12.430
Ir Sm Sn
2 10 4
Direct
0.000 0.500 0.500 Ir
0.000 0.000 0.000 Ir
0.500 0.813 0.933 Sm
0.000 0.500 0.000 Sm
0.000 0.639 0.703 Sm
0.000 0.000 0.500 Sm
0.000 0.139 0.797 Sm
0.000 0.361 0.297 Sm
0.500 0.313 0.567 Sm
0.500 0.687 0.433 Sm
0.000 0.861 0.203 Sm
0.500 0.187 0.067 Sm
0.500 0.925 0.672 Sn
0.500 0.075 0.328 Sn
0.500 0.575 0.172 Sn
0.500 0.425 0.828 Sn
```


Computed, not measured: crystalline SmSn2Ir at its relaxed geometry at the PBE level of DFT.

**Symmetry**: Immm

```
SmSn2Ir
1.0
4.450 0.000 -1.034
-1.065 8.423 -4.583
0.017 0.008 10.166
Sn Ir Sm
8 4 4
Direct
0.083 0.083 0.166 Sn
0.080 0.580 0.160 Sn
0.299 0.640 0.598 Sn
0.701 0.042 0.402 Sn
0.299 0.958 0.598 Sn
0.701 0.360 0.402 Sn
0.917 0.917 0.834 Sn
0.920 0.420 0.840 Sn
0.145 0.397 0.290 Ir
0.855 0.603 0.710 Ir
0.145 0.893 0.290 Ir
0.855 0.107 0.710 Ir
0.294 0.294 0.587 Sm
0.500 0.267 0.000 Sm
0.500 0.733 0.000 Sm
0.706 0.706 0.413 Sm
```


Taking the records one at a time from the top gives DFT formation energy values of -201 -529 221 -680 -697 -652 meV per atom.